## BaSr2InB (PBE)

Data for a geometry-optimized BaSr2InB structure.

Cell and atoms, written as CIF:
```
data_BaSr2InB
_cell_length_a 6.580
_cell_length_b 6.580
_cell_length_c 4.722
_cell_angle_alpha 90.00
_cell_angle_beta 90.00
_cell_angle_gamma 90.00
_space_group_name_H-M_alt 'P 4/m m m'
_space_group_IT_number 123
_space_group_name_Hall '-P 4 2'
loop_
_atom_site_label
_atom_site_fract_x
_atom_site_fract_y
_atom_site_fract_z
Ba1 0.000 0.000 0.000
Sr1 0.000 0.500 0.000
In1 0.500 0.500 0.500
B1 0.000 0.000 0.500
```

***

## Tb5CeTm3 (PBE)

Data for a geometry-optimized Tb5CeTm3 structure.

Cell and atoms, written as CIF:
```
data_Tb5CeTm3
_cell_length_a 11.424
_cell_length_b 11.261
_cell_length_c 11.543
_cell_angle_alpha 90.00
_cell_angle_beta 119.43
_cell_angle_gamma 90.00
_space_group_name_H-M_alt 'C 1 2/m 1'
_space_group_IT_number 12
_space_group_name_Hall '-C 2y'
loop_
_atom_site_label
_atom_site_fract_x
_atom_site_fract_y
_atom_site_fract_z
Tb1 0.000 0.222 0.000
Tb2 0.016 0.000 0.384
Tb3 0.137 0.251 0.753
Tb4 0.177 0.000 0.937
Ce1 0.087 0.500 0.803
Tm1 0.000 0.500 0.000
Tm2 0.000 0.500 0.500
Tm3 0.168 0.000 0.228
Tm4 0.207 0.500 0.332
```

***

## LaCe4In (PBE)

Data for a geometry-optimized LaCe4In structure.

Cell and atoms, written as CIF:
```
data_LaCe4In
_cell_length_a 8.881
_cell_length_b 8.881
_cell_length_c 8.881
_cell_angle_alpha 90.00
_cell_angle_beta 90.00
_cell_angle_gamma 90.00
_space_group_name_H-M_alt 'F -4 3 m'
_space_group_IT_number 216
_space_group_name_Hall 'F -4 2 3'
loop_
_atom_site_label
_atom_site_fract_x
_atom_site_fract_y
_atom_site_fract_z
La1 0.000 0.000 0.000
Ce1 0.113 0.113 0.387
In1 0.250 0.250 0.750
```

***

| no. | M_tot (μB per formula unit) | calculated formation energy (eV/atom) | density of states at the Fermi level (states/eV per cell) |
| --- | --- | --- | --- |
| 1 | 0.00 | 1.120 | 4.7 |
| 2 | 0.00 | 0.597 | 61.3 |
| 3 | 2.03 | 0.072 | 57.5 |